Compound: Na2LiBi
Source: Alexandria via LeMat-Bulk
Functional: PBE
Structure: relaxed

Density of states at the Fermi level: 0.27 states/eV/atom
Total magnetic moment: 0.00 Bohr magnetons per cell
Formation energy: -361.0 meV/atom

```
Na2LiBi
1.0
4.988 0.000 0.000
0.000 4.988 0.000
0.000 0.000 16.642
Na Li Bi
8 4 4
direct
0.000 0.000 0.151
0.000 0.000 0.849
0.000 0.500 0.000
0.000 0.500 0.500
0.500 0.000 0.000
0.500 0.000 0.500
0.500 0.500 0.349
0.500 0.500 0.651
0.000 0.500 0.250
0.000 0.500 0.750
0.500 0.000 0.250
0.500 0.000 0.750
0.000 0.000 0.358
0.000 0.000 0.642
0.500 0.500 0.142
0.500 0.500 0.858
```